## K2FePdO4 (PBE+U)

Data for a geometry-optimized K2FePdO4 structure.

It has space group Fddd (No. 70, origin choice 2), with a = 5.648 Å, b = 12.964 Å, c = 18.293 Å, α = 90.00°, β = 90.00° and γ = 90.00°. Symmetry generates all atoms from K at (0.125, 0.125, 0.306), Fe at (0.125, 0.125, 0.625), Pd at (0.125, 0.125, 0.125) and O at (0.115, 0.276, 0.848).

For the total energy, the calculation gives -5.075 eV/atom. For the density, the calculation gives 3.0 Mg/m³.